! ScCuO2, PBEsol geometry, DFT meta-GGA SCAN; values from VASP
&SYSTEM
  ibrav = 0, nat = 8, ntyp = 3
/
ATOMIC_SPECIES
Sc 44.96 Sc.upf
Cu 63.55 Cu.upf
O 16.00 O.upf
CELL_PARAMETERS angstrom
3.202 0.000 0.000
-1.601 2.773 0.000
0.000 0.000 11.306
ATOMIC_POSITIONS angstrom
Sc 0.000 0.000 0.000
Sc 0.000 0.000 5.653
Cu 0.000 1.848 2.826
Cu 1.601 0.924 8.479
O 0.000 1.848 1.013
O 0.000 1.848 4.639
O 1.601 0.924 6.666
O 1.601 0.924 10.292
! density of states at the Fermi level = 0.000 states/eV/cell
! SG = P6_3/mmc, No. 194
! electronic total energy = -104.71 eV per cell
! raw formation energy = -2.614 eV/atom